[1]
Material: BiB
Method: DFT, GGA-PBE
State: optimized geometry

Output
Volume ... 179.3 Å³/cell
Formation enthalpy at 0 K ... 0.899 eV/atom
Crystal system ... tetragonal
Spin magnetization ... 0.0 μB per formula unit

Unit cell a=6.769 b=6.769 c=3.914 alpha=90.00 beta=90.00 gamma=90.00
Space group P4_2/mnm (No. 136)
Symmetry-distinct sites (fractional):
Bi  0.182  0.182  0.000 x4
B  0.176  0.824  0.000 x4

=====

[2]
Material: BiB
Method: DFT, GGA-PBE
State: optimized geometry

Output
Volume ... 317.7 Å³/cell
Formation enthalpy at 0 K ... 1.008 eV/atom
Crystal system ... cubic
Spin magnetization ... 0.0 μB per formula unit

Unit cell a=6.824 b=6.824 c=6.824 alpha=90.00 beta=90.00 gamma=90.00
Space group Pm-3n (No. 223)
Symmetry-distinct sites (fractional):
Bi  0.000  0.250  0.500 x6
B  0.000  0.500  0.250 x6

=====

[3]
Material: BiB2Br
Method: DFT, GGA-PBE
State: optimized geometry

Output
Volume ... 349.3 Å³/cell
Crystal system ... tetragonal
Uncorrected formation energy ... 1.4742 eV/atom
Spin magnetization ... 0.0 μB per formula unit

Unit cell a=5.303 b=5.303 c=12.419 alpha=90.00 beta=90.00 gamma=90.00
Space group I-42d (No. 122)
Symmetry-distinct sites (fractional):
Bi  0.000  0.000  0.000 x4
B  0.247  0.250  0.625 x8
Br  0.000  0.000  0.500 x4

=====

[4]
Material: BiB2Br
Method: DFT, GGA-PBE
State: optimized geometry

Output
Volume ... 289.8 Å³/cell
Crystal system ... cubic
Uncorrected formation energy ... 1.8195 eV/atom
Spin magnetization ... 0.0 μB per formula unit

Unit cell a=6.617 b=6.617 c=6.617 alpha=90.00 beta=90.00 gamma=90.00
Space group Fm-3m (No. 225)
Symmetry-distinct sites (fractional):
Bi  0.000  0.000  0.000 x4
B  0.250  0.250  0.250 x8
Br  0.000  0.000  0.500 x4